The following is a DFT calculation (PBE-GGA) of an optimized crystal structure of ZrAlCo.

Output
The calculation puts the density at 4.978 g/cm³. The formation energy comes out at 0.512 eV per atom. As for the total energy: -5.95 eV per atom. The calculation puts the density of states at the Fermi level at 3.4 states/eV/f.u.

Unit cell a=4.372 b=4.372 c=4.372 alpha=60.00 beta=60.00 gamma=60.00
Each line ends with the local moment (μB).
Positions (direct):
Co: 0.500 0.500 0.500  0.56
Al: 0.000 0.000 0.000  0.00
Zr: 0.250 0.250 0.250  -0.10